Entry 1:
VASP calculation (PBE) on a geometry-optimized KBa4Tl5 structure.

Unit cell a=4.279 b=4.279 c=21.658 alpha=90.00 beta=90.00 gamma=90.00
Element x y z (fractional)
Ba  0.000  0.000  0.600
Tl  0.500  0.500  0.105
Ba  0.000  0.000  0.798
K  0.000  0.000  0.000
Tl  0.500  0.500  0.300
Ba  0.000  0.000  0.400
Tl  0.500  0.500  0.700
Tl  0.500  0.500  0.500
Tl  0.500  0.500  0.895
Ba  0.000  0.000  0.202

Electronic total energy = -2.39 eV/atom
E_form = -0.326 eV/atom
Spin magnetization = 0.000 μB/f.u.

=====

Entry 2:
VASP calculation (PBE) on a geometry-optimized La4Tb15Tm structure.

Unit cell a=5.095 b=5.095 c=25.370 alpha=90.00 beta=90.00 gamma=90.00
Element x y z (fractional)
Tb  0.000  0.500  0.903
Tb  0.500  0.000  0.701
La  0.000  0.000  0.399
Tb  0.500  0.000  0.097
Tb  0.500  0.500  0.198
La  0.000  0.000  0.601
La  0.000  0.000  0.199
Tm  0.000  0.000  0.000
Tb  0.000  0.500  0.299
Tb  0.500  0.000  0.299
Tb  0.000  0.500  0.701
Tb  0.000  0.500  0.500
Tb  0.500  0.000  0.500
Tb  0.500  0.000  0.903
Tb  0.500  0.500  0.399
Tb  0.500  0.500  0.601
La  0.000  0.000  0.801
Tb  0.000  0.500  0.097
Tb  0.500  0.500  0.802
Tb  0.500  0.500  0.000

Electronic total energy = -4.66 eV/atom
E_form = 0.026 eV/atom
Spin magnetization = 0.000 μB/f.u.